No. 1
A relaxed Li2TlSiS4 crystal. Source: Alexandria via LeMat-Bulk, functional PBE.

The space group is I-42m (No. 121) and the conventional cell measures 5.9842, 5.9842 and 9.9584 Å, with angles of 90.00, 90.00 and 90.00 degrees. Symmetry generates all atoms from Li at (0.0000, 0.5000, 0.2500), Tl at (0.0000, 0.0000, 0.0000), Si at (0.0000, 0.0000, 0.5000) and S at (0.1985, 0.1985, 0.6329).

The value obtained for the electronic total energy is -69.68 eV/cell. For the formation energy (no corrections), the calculation gives -648 kJ/mol of formula units. The volume comes out at 356.6 Å³ per cell.

***

No. 2
A relaxed LiTmSi2S6 crystal. Source: Alexandria via LeMat-Bulk, functional PBE.

The space group is C2/c (No. 15) and the conventional cell measures 12.2547, 11.4427 and 6.3382 Å, with angles of 90.00, 104.09 and 90.00 degrees. Symmetry generates all atoms from Li at (0.0000, 0.2125, 0.2500), Tm at (0.0000, 0.3842, 0.7500), Si at (0.2024, 0.0809, 0.7741), S at (0.1172, 0.4161, 0.1624), S at (0.1337, 0.2356, 0.6182) and S at (0.1397, 0.0678, 0.0662).

The value obtained for the electronic total energy is -210.54 eV/cell. For the formation energy (no corrections), the calculation gives -1026 kJ/mol of formula units. The volume comes out at 862.0 Å³ per cell.